A relaxed structure of Ba2Ni2Ag, computed with PBE-GGA.

- raw total energy (eV/atom) = -3.506
- E_form (eV per atom) = 0.15
- E above lowest polymorph (eV/atom) = 0.047
- ρ (g/cm3) = 5.98
- SG = I4/mmm, No. 139

a = 6.019 Å, b = 6.019 Å, c = 5.726 Å
α = 58.30°, β = 58.30°, γ = 90.00°
Atoms (fractional coordinates):
Ni 0.346 0.346 0.309
Ni 0.654 0.654 0.691
Ba 0.750 0.250 0.500
Ba 0.250 0.750 0.500
Ag 0.000 0.000 0.000